Material: Li3Ac2NiO6
Method: DFT, PBE with a Hubbard U
State: optimized geometry

Summary:
- Magnetic moment: 0.2520 μB per atom
- VASP energy: -70.8 eV per formula unit

a = 5.7167 Å, b = 11.2970 Å, c = 5.2294 Å
α = 90.00°, β = 107.42°, γ = 90.00°
With the nearest neighbours (Å) after each atom.
Space group C2/m (No. 12)
Inequivalent atoms, fractional coordinates:
Li 0.0000 0.0000 0.0000 x2  6 O 2.25-2.39
Li 0.0000 0.4008 0.0000 x4  4 O 2.02, 1 Li 2.24
Ac 0.0000 0.1663 0.5000 x4  6 O 2.45-2.67
Ni 0.0000 0.5000 0.5000 x2  6 O 2.07-2.17
O 0.1947 0.3663 0.7429 x8  1 Li 2.02, 1 Ni 2.07
O 0.2458 0.0000 0.7358 x4  3 Li 2.02-2.25, 1 Ni 2.17